Record 1
A relaxed structure of TaPd2RuAu. Source: the Alexandria database, functional PBE.

Energy relative to the elements, eV per atom: 1.76
Symmetry: P4/mmm

Unit cell a=4.7823 b=4.7930 c=4.7823 alpha=90.00 beta=90.00 gamma=90.00
Positions (direct):
Ru 0.0000 0.5000 0.0000
Au 0.0000 0.0000 0.0000
Pd 0.0000 0.0000 0.5000
Pd 0.5000 0.0000 0.0000
Ta 0.5000 0.5000 0.5000


Record 2
A relaxed structure of ScSiN2. Source: the Alexandria database, functional PBE.

Symmetry: I-42d
Uncorrected formation energy, kJ/mol of atoms: -106.4

Unit cell a=4.7723 b=4.7723 c=5.2745 alpha=63.10 beta=63.10 gamma=90.00
Positions (direct):
Sc 0.0000 0.0000 0.0000
Sc 0.7500 0.2500 0.5000
Si 0.5000 0.5000 0.0000
Si 0.2500 0.7500 0.5000
N 0.5496 0.1250 0.2500
N 0.2004 0.6250 0.2500
N 0.3750 0.4504 0.7500
N 0.8750 0.7996 0.7500


Record 3
A relaxed structure of PmEuTmTh. Source: the Alexandria database, functional PBE.

Energy relative to the elements, eV per atom: 0.21
Symmetry: F-43m

Unit cell a=5.7645 b=5.7645 c=5.7645 alpha=60.00 beta=60.00 gamma=60.00
Positions (direct):
Eu 0.5000 0.5000 0.5000
Tm 0.2500 0.2500 0.2500
Th 0.0000 0.0000 0.0000
Pm 0.7500 0.7500 0.7500


Record 4
A relaxed structure of NaY2Ir2. Source: the Alexandria database, functional PBE.

E above lowest polymorph, meV/atom: 80
Energy relative to the elements, eV per atom: -0.38
Symmetry: P4/mbm

Unit cell a=8.2794 b=8.2794 c=3.2310 alpha=90.00 beta=90.00 gamma=90.00
Positions (direct):
Y 0.3538 0.8538 0.0000
Y 0.8538 0.6462 0.0000
Y 0.6462 0.1462 0.0000
Y 0.1462 0.3538 0.0000
Na 0.0000 0.0000 0.0000
Na 0.5000 0.5000 0.0000
Ir 0.1462 0.6462 0.5000
Ir 0.6462 0.8538 0.5000
Ir 0.8538 0.3538 0.5000
Ir 0.3538 0.1462 0.5000


Record 5
A relaxed structure of U3Tl2Se6. Source: the Alexandria database, functional PBE.

Symmetry: C2/m
Uncorrected formation energy, kJ/mol of atoms: -94.5

Unit cell a=7.1649 b=7.1640 c=8.2580 alpha=81.68 beta=73.19 gamma=60.00
Positions (direct):
U 0.0000 0.0000 0.0000
U 0.3335 0.3329 0.0000
U 0.6665 0.6671 0.0000
Tl 0.1666 0.6668 0.5000
Tl 0.8334 0.3332 0.5000
Se 0.4013 0.6665 0.7962
Se 0.7350 0.0000 0.7956
Se 0.0678 0.3335 0.7962
Se 0.2650 0.0000 0.2044
Se 0.5987 0.3335 0.2038
Se 0.9322 0.6665 0.2038


Record 6
A relaxed structure of MgW2Br. Source: the Alexandria database, functional PBE.

E above lowest polymorph, meV/atom: 465
Symmetry: P2/m
Uncorrected formation energy, kJ/mol of atoms: 72.3

Unit cell a=5.1848 b=3.3013 c=4.7685 alpha=95.93 beta=90.00 gamma=90.00
Positions (direct):
Br 0.5000 0.2500 0.2500
Mg 0.5000 0.7500 0.7500
W 0.0000 0.0408 0.9384
W 0.0000 0.4592 0.5616


Record 7
A relaxed structure of KIr3Pb. Source: the Alexandria database, functional PBE.

E above lowest polymorph, meV/atom: 0
Energy relative to the elements, eV per atom: 1.80
Symmetry: Pm-3m

Unit cell a=5.1262 b=5.1262 c=5.1262 alpha=90.00 beta=90.00 gamma=90.00
Positions (direct):
Pb 0.0000 0.0000 0.0000
K 0.5000 0.5000 0.5000
Ir 0.0000 0.5000 0.0000
Ir 0.0000 0.0000 0.5000
Ir 0.5000 0.0000 0.0000


Record 8
A relaxed structure of SrNbB3. Source: the Alexandria database, functional PBE.

E above lowest polymorph, meV/atom: 2243
Energy relative to the elements, eV per atom: 2.83
Symmetry: Pm-3m

Unit cell a=4.2973 b=4.2973 c=4.2973 alpha=90.00 beta=90.00 gamma=90.00
Positions (direct):
Sr 0.0000 0.0000 0.0000
Nb 0.5000 0.5000 0.5000
B 0.0000 0.5000 0.0000
B 0.0000 0.0000 0.5000
B 0.5000 0.0000 0.0000


Record 9
A relaxed structure of TlCd2W. Source: the Alexandria database, functional PBE.

E above lowest polymorph, meV/atom: 440
Energy relative to the elements, eV per atom: 0.97
Symmetry: F-43m

Unit cell a=4.9380 b=4.9380 c=4.9380 alpha=60.00 beta=60.00 gamma=60.00
Positions (direct):
Tl 0.5000 0.5000 0.5000
W 0.7500 0.7500 0.7500
Cd 0.0000 0.0000 0.0000
Cd 0.2500 0.2500 0.2500


Record 10
A relaxed structure of Ti12Co2Ni5. Source: the Alexandria database, functional PBE.

Energy relative to the elements, eV per atom: -0.05
Symmetry: C2/m

Unit cell a=6.1298 b=7.1528 c=7.6030 alpha=95.62 beta=90.00 gamma=115.37
Positions (direct):
Ti 0.9503 0.9007 0.1657
Ti 0.0612 0.6483 0.8652
Ti 0.5871 0.6483 0.8652
Ti 0.1194 0.7139 0.4366
Ti 0.5945 0.7139 0.4366
Ti 0.4839 0.9678 0.6977
Ti 0.5161 0.0322 0.3023
Ti 0.8806 0.2861 0.5634
Ti 0.4055 0.2861 0.5634
Ti 0.9388 0.3517 0.1348
Ti 0.4129 0.3517 0.1348
Ti 0.0497 0.0993 0.8343
Co 0.6919 0.0000 0.0000
Co 0.3081 0.0000 0.0000
Ni 0.2747 0.5494 0.6421
Ni 0.3392 0.6784 0.1237
Ni 0.0000 0.0000 0.5000
Ni 0.6608 0.3216 0.8763
Ni 0.7253 0.4506 0.3579


Record 11
A relaxed structure of HRu2Se. Source: the Alexandria database, functional PBE.

E above lowest polymorph, meV/atom: 235
Symmetry: Fm-3m

Unit cell a=4.0941 b=4.0941 c=4.0941 alpha=60.00 beta=60.00 gamma=60.00
Positions (direct):
Ru 0.2500 0.2500 0.2500
Ru 0.7500 0.7500 0.7500
Se 0.5000 0.5000 0.5000
H 0.0000 0.0000 0.0000


Record 12
A relaxed structure of Pr2NiAg. Source: the Alexandria database, functional PBE.

E above lowest polymorph, meV/atom: 0
Energy relative to the elements, eV per atom: -0.23
Symmetry: P2_1/m

Unit cell a=4.6727 b=5.9130 c=7.8469 alpha=111.00 beta=90.00 gamma=90.00
Positions (direct):
Pr 0.7500 0.2383 0.4260
Pr 0.2500 0.7617 0.5740
Pr 0.2500 0.7918 0.0649
Pr 0.7500 0.2082 0.9351
Ni 0.2500 0.3557 0.2106
Ni 0.7500 0.6443 0.7894
Ag 0.7500 0.6635 0.2844
Ag 0.2500 0.3365 0.7156


Record 13
A relaxed structure of TaB3Rh. Source: the Alexandria database, functional PBE.

E above lowest polymorph, meV/atom: 479
Energy relative to the elements, eV per atom: 1.66
Symmetry: Pm-3m

Unit cell a=4.1625 b=4.1625 c=4.1625 alpha=90.00 beta=90.00 gamma=90.00
Positions (direct):
B 0.0000 0.5000 0.0000
B 0.0000 0.0000 0.5000
B 0.5000 0.0000 0.0000
Rh 0.5000 0.5000 0.5000
Ta 0.0000 0.0000 0.0000


Record 14
A relaxed structure of Ho4Ti6O19. Source: the Alexandria database, functional PBE.

Symmetry: I23
Uncorrected formation energy, kJ/mol of atoms: -289.4

Unit cell a=7.7717 b=7.7717 c=7.7717 alpha=109.47 beta=109.47 gamma=109.47
Positions (direct):
Ho 0.0000 0.0000 0.7040
Ho 0.0000 0.7040 0.0000
Ho 0.2960 0.2960 0.2960
Ho 0.7040 0.0000 0.0000
Ti 0.3388 0.5000 0.8388
Ti 0.6612 0.5000 0.1612
Ti 0.1612 0.6612 0.5000
Ti 0.8388 0.3388 0.5000
Ti 0.5000 0.8388 0.3388
Ti 0.5000 0.1612 0.6612
O 0.6487 0.0000 0.6487
O 0.3513 0.0000 0.3513
O 0.3513 0.3513 0.0000
O 0.6487 0.6487 0.0000
O 0.0000 0.6487 0.6487
O 0.0000 0.3513 0.3513
O 0.0000 0.0000 0.0000
O 0.3620 0.3251 0.6086
O 0.6380 0.2466 0.9631
O 0.7165 0.7534 0.3914
O 0.9631 0.6380 0.2466
O 0.2835 0.6749 0.0369
O 0.6086 0.3620 0.3251
O 0.0369 0.2835 0.6749
O 0.3914 0.7165 0.7534
O 0.6749 0.0369 0.2835
O 0.2466 0.9631 0.6380
O 0.3251 0.6086 0.3620
O 0.7534 0.3914 0.7165


Record 15
A relaxed structure of RbBa2Se. Source: the Alexandria database, functional PBE.

Symmetry: I-42d
Uncorrected formation energy, kJ/mol of atoms: -69.0

Unit cell a=11.2619 b=11.2619 c=8.7947 alpha=50.19 beta=50.19 gamma=90.00
Positions (direct):
Se 0.5000 0.5000 0.0000
Se 0.2500 0.7500 0.5000
Ba 0.4883 0.1250 0.2500
Ba 0.2617 0.6250 0.2500
Ba 0.3750 0.5117 0.7500
Ba 0.8750 0.7383 0.7500
Rb 0.0000 0.0000 0.0000
Rb 0.7500 0.2500 0.5000


Record 16
A relaxed structure of YHoTe2. Source: the Alexandria database, functional PBE.

E above lowest polymorph, meV/atom: 148
Symmetry: P4/mmm
Uncorrected formation energy, kJ/mol of atoms: -111.7

Unit cell a=3.7796 b=3.7796 c=7.5626 alpha=90.00 beta=90.00 gamma=90.00
Positions (direct):
Y 0.5000 0.5000 0.0000
Te 0.0000 0.0000 0.7483
Te 0.0000 0.0000 0.2517
Ho 0.5000 0.5000 0.5000


Record 17
A relaxed structure of CdSnRu2Br. Source: the Alexandria database, functional PBE.

Symmetry: P4/mmm
Uncorrected formation energy, kJ/mol of atoms: 122.5

Unit cell a=4.6354 b=4.6354 c=5.4455 alpha=90.00 beta=90.00 gamma=90.00
Positions (direct):
Ru 0.0000 0.5000 0.0000
Ru 0.5000 0.0000 0.0000
Sn 0.0000 0.0000 0.5000
Br 0.0000 0.0000 0.0000
Cd 0.5000 0.5000 0.5000


Record 18
A relaxed structure of BaLaCd3. Source: the Alexandria database, functional PBE.

E above lowest polymorph, meV/atom: 0
Energy relative to the elements, eV per atom: -0.30
Symmetry: Cmcm

Unit cell a=3.9353 b=5.1800 c=15.7770 alpha=90.00 beta=97.16 gamma=90.00
Positions (direct):
Ba 0.9247 0.7500 0.8494
Ba 0.0753 0.2500 0.1506
La 0.2122 0.7500 0.4244
La 0.7878 0.2500 0.5756
Cd 0.6244 0.7500 0.2488
Cd 0.3756 0.2500 0.7512
Cd 0.5250 0.7500 0.0501
Cd 0.4750 0.2500 0.9499
Cd 0.6782 0.2500 0.3563
Cd 0.3218 0.7500 0.6437


Record 19
A relaxed structure of Na3HgBi. Source: the Alexandria database, functional PBE.

E above lowest polymorph, meV/atom: 20
Energy relative to the elements, eV per atom: -0.31
Symmetry: P-1

Unit cell a=5.8338 b=5.8728 c=8.8050 alpha=90.03 beta=70.66 gamma=90.08
Positions (direct):
Na 0.1482 0.3442 0.4184
Na 0.9565 0.3440 0.8051
Na 0.6476 0.8446 0.4250
Na 0.7631 0.3444 0.1896
Na 0.2625 0.8444 0.1962
Na 0.4556 0.8447 0.8093
Hg 0.8508 0.8442 0.0189
Hg 0.5603 0.3448 0.5957
Bi 0.3500 0.3446 0.0164
Bi 0.0611 0.8441 0.5982


Record 20
A relaxed structure of EuThHgPb. Source: the Alexandria database, functional PBE.

Energy relative to the elements, eV per atom: -0.32
Symmetry: F-43m

Unit cell a=5.5245 b=5.5245 c=5.5245 alpha=60.00 beta=60.00 gamma=60.00
Positions (direct):
Pb 0.2500 0.2500 0.2500
Eu 0.0000 0.0000 0.0000
Hg 0.7500 0.7500 0.7500
Th 0.5000 0.5000 0.5000


Record 21
A relaxed structure of ZrFe2Ni. Source: the Alexandria database, functional PBE.

Energy relative to the elements, eV per atom: 0.26
Symmetry: R3m

Unit cell a=8.5126 b=8.5126 c=8.5126 alpha=19.17 beta=19.17 gamma=19.17
Positions (direct):
Fe 0.9900 0.9900 0.9900
Fe 0.2509 0.2509 0.2509
Ni 0.5085 0.5085 0.5085
Zr 0.7506 0.7506 0.7506


Record 22
A relaxed structure of SrZn4Pd4. Source: the Alexandria database, functional PBE.

Energy relative to the elements, eV per atom: -0.44
Symmetry: P4_2/n

Unit cell a=4.7234 b=8.6013 c=8.6013 alpha=90.00 beta=90.00 gamma=90.00
Positions (direct):
Sr 0.0000 0.0000 0.0000
Sr 0.5000 0.5000 0.5000
Zn 0.5185 0.8386 0.2896
Zn 0.5185 0.1614 0.7104
Zn 0.0185 0.7896 0.6614
Zn 0.9815 0.3386 0.7896
Zn 0.9815 0.6614 0.2104
Zn 0.4815 0.2896 0.1614
Zn 0.4815 0.7104 0.8386
Zn 0.0185 0.2104 0.3386
Pd 0.4781 0.3967 0.8810
Pd 0.9781 0.6190 0.8967
Pd 0.4781 0.6033 0.1190
Pd 0.0219 0.1033 0.6190
Pd 0.5219 0.8810 0.6033
Pd 0.0219 0.8967 0.3810
Pd 0.9781 0.3810 0.1033
Pd 0.5219 0.1190 0.3967


Record 23
A relaxed structure of ZnTeMoI2. Source: the Alexandria database, functional PBE.

E above lowest polymorph, meV/atom: 0
Symmetry: P4/mmm
Uncorrected formation energy, kJ/mol of atoms: 37.6

Unit cell a=5.7181 b=5.7181 c=5.2415 alpha=90.00 beta=90.00 gamma=90.00
Positions (direct):
I 0.0000 0.5000 0.0000
I 0.5000 0.0000 0.0000
Mo 0.0000 0.0000 0.0000
Te 0.0000 0.0000 0.5000
Zn 0.5000 0.5000 0.5000


Record 24
A relaxed structure of UAlTe4. Source: the Alexandria database, functional PBE.

Symmetry: P2_1/c
Uncorrected formation energy, kJ/mol of atoms: -31.3

Unit cell a=7.0814 b=7.2260 c=7.3284 alpha=90.00 beta=97.93 gamma=90.00
Positions (direct):
U 0.0000 0.0000 0.0000
U 0.5000 0.5000 0.0000
Al 0.5000 0.0000 0.5000
Al 0.0000 0.5000 0.5000
Te 0.8565 0.6857 0.1973
Te 0.6435 0.1857 0.8027
Te 0.2567 0.2855 0.3033
Te 0.2433 0.7855 0.6967
Te 0.1435 0.3143 0.8027
Te 0.3565 0.8143 0.1973
Te 0.7433 0.7145 0.6967
Te 0.7567 0.2145 0.3033